The following is a PBE calculation of a relaxed Zr5Ir3 crystal, from Alexandria via LeMat-Bulk.

Geometry as POSCAR:
```
Zr5Ir3
1.0
7.978 0.000 0.000
-3.989 6.909 0.000
0.000 0.000 17.214
Zr Ir
30 18
Cartesian
4.865 5.269 14.225 Zr
-0.139 4.526 7.173 Zr
0.512 4.311 4.304 Zr
1.859 0.062 11.596 Zr
3.114 5.269 5.858 Zr
6.120 0.062 8.487 Zr
3.989 1.712 1.434 Zr
0.000 5.198 10.041 Zr
0.000 4.767 1.434 Zr
3.850 2.384 4.304 Zr
3.989 2.142 10.041 Zr
0.992 1.718 8.607 Zr
3.477 2.599 12.911 Zr
3.006 5.331 11.356 Zr
-2.130 6.847 17.094 Zr
-0.992 1.718 11.476 Zr
-0.512 4.311 15.780 Zr
-3.006 5.331 8.727 Zr
-2.997 5.191 2.869 Zr
0.875 1.641 14.465 Zr
4.128 2.384 15.780 Zr
1.984 0.000 5.738 Zr
0.983 1.579 2.749 Zr
2.130 6.847 2.989 Zr
5.994 0.000 14.345 Zr
-0.875 1.641 5.618 Zr
2.997 5.191 0.000 Zr
4.501 2.599 7.173 Zr
0.139 4.526 12.911 Zr
6.995 1.579 0.120 Zr
1.759 2.723 6.147 Ir
2.230 4.186 14.754 Ir
-1.479 2.885 9.016 Ir
1.479 2.885 11.067 Ir
3.052 0.000 14.345 Ir
4.741 0.161 11.885 Ir
3.238 0.161 8.198 Ir
2.510 4.025 2.460 Ir
-2.230 4.186 5.329 Ir
-1.526 2.643 2.869 Ir
4.926 0.000 5.738 Ir
6.220 2.723 13.936 Ir
0.752 6.748 16.805 Ir
1.526 2.643 0.000 Ir
-2.463 4.266 11.476 Ir
5.468 4.025 0.409 Ir
-0.752 6.748 3.278 Ir
2.463 4.266 8.607 Ir
```

Values from the calculation:
ρ: 10844 kg/m3
Distance to the lowest polymorph of the same formula: 0 meV per atom


The following is a PBE calculation of a relaxed MnPt4 crystal, from Alexandria via LeMat-Bulk.

Geometry as POSCAR:
```
MnPt4
1.0
3.717 -0.978 2.994
-4.001 -2.290 1.576
1.087 -1.537 -4.494
Mn Pt
1 4
Cartesian
0.000 0.000 0.000 Mn
1.858 -0.489 1.497 Pt
0.544 -0.768 -2.247 Pt
-2.001 -1.145 0.788 Pt
0.401 -2.402 0.038 Pt
```

Values from the calculation:
ρ: 15580 kg/m3
Distance to the lowest polymorph of the same formula: 547 meV per atom


The following is a PBE calculation of a relaxed HoTh3C4 crystal, from Alexandria via LeMat-Bulk.

Geometry as POSCAR:
```
HoTh3C4
1.0
-0.553 3.352 4.023
-4.804 1.285 -1.731
-2.084 -3.853 2.923
C Th Ho
4 3 1
Cartesian
-2.402 0.643 -0.866 C
-1.042 -1.926 1.462 C
-3.721 0.392 2.608 C
-0.277 1.676 2.012 C
-2.679 2.319 1.146 Th
-1.318 -0.250 3.473 Th
-3.444 -1.284 0.596 Th
0.000 0.000 0.000 Ho
```

Values from the calculation:
ρ: 10337 kg/m3
Final energy: -65.7 eV/cell


The following is a PBE calculation of a relaxed MgIn2Tc crystal, from Alexandria via LeMat-Bulk.

Geometry as POSCAR:
```
MgIn2Tc
1.0
-2.566 4.609 1.185
-1.587 0.517 5.143
4.602 -1.325 -2.509
Mg Tc In
1 1 2
Cartesian
-2.076 2.563 3.164 Mg
-0.020 2.923 0.920 Tc
0.000 0.000 0.000 In
0.470 0.877 2.899 In
```

Values from the calculation:
ρ: 7665 kg/m3
Final energy: -17.0 eV/cell


Which of these has the lowest ρ? MgIn2Tc